## Dy2PPd (GGA-PBE)

Data for Dy2PPd after structural relaxation.

It has space group R-3m (No. 166, hexagonal axes), with a = 3.7268 Å, b = 3.7268 Å, c = 25.7772 Å, α = 90.00°, β = 90.00° and γ = 120.00°. The inequivalent atoms are Dy at (0.0000, 0.0000, 0.1027), P at (0.0000, 0.0000, 0.5000) and Pd at (0.0000, 0.0000, 0.0000).

The energy of formation from the pure elements is -0.58 eV per atom.

***

## DyPPd2 (GGA-PBE)

Data for DyPPd2 after structural relaxation.

It has space group Cmcm (No. 63), with a = 3.902 Å, b = 18.464 Å, c = 4.074 Å, α = 90.00°, β = 90.00° and γ = 90.00°. The inequivalent atoms are Dy at (0.000, 0.110, 0.250), P at (0.000, 0.329, 0.250), Pd at (0.000, 0.247, 0.750) and Pd at (0.000, 0.454, 0.250).

The energy of formation from the pure elements is -0.92 eV per atom.

***

Q: Which of these has the highest energy of formation from the pure elements?
A: Dy2PPd

***

Q: The lowest energy of formation from the pure elements belongs to which entry?
A: DyPPd2

***

Q: Which of these has the highest energy of formation from the pure elements?
A: Dy2PPd

***

Q: Which value of energy of formation from the pure elements does entry 2 give?
A: -0.92 eV per atom